1.
Computed, not measured: crystalline NpAl2F8 at its relaxed geometry at the PBE-GGA level of DFT.

Cell and atoms, written as POSCAR:
```
NpAl2F8
1.0
-4.106 -2.075 -0.773
3.376 -5.289 -1.157
1.841 -4.301 4.338
Np Al F
1 2 8
Direct
0.000 0.000 0.000
0.495 0.729 0.729
0.505 0.271 0.271
0.325 0.388 0.943
0.675 0.057 0.612
0.200 0.818 0.818
0.800 0.182 0.182
0.325 0.943 0.388
0.675 0.612 0.057
0.739 0.622 0.622
0.261 0.378 0.378
```



2.
Computed, not measured: crystalline PaTiBe at its relaxed geometry at the PBE-GGA level of DFT.

Cell and atoms, written as POSCAR:
```
PaTiBe
1.0
-0.885 -0.227 2.928
-0.108 -4.489 -0.381
3.789 2.060 1.306
Be Pa Ti
1 1 1
Direct
0.165 0.333 0.667
0.667 0.667 0.333
0.168 0.000 0.000
```

Offset from the most stable computed form (eV/atom): 0.2448
DFT formation energy (eV per atom): 0.2737



3.
Computed, not measured: crystalline SnPt2SeN at its relaxed geometry at the PBE-GGA level of DFT.

Cell and atoms, written as POSCAR:
```
SnPt2SeN
1.0
4.598 0.000 0.000
0.000 5.967 0.000
0.000 0.000 4.598
Se Sn Pt N
1 1 2 1
Direct
0.000 0.000 0.000
0.000 0.500 0.000
0.000 0.000 0.500
0.500 0.000 0.000
0.500 0.500 0.500
```



4.
Computed, not measured: crystalline ZrZnN3 at its relaxed geometry at the PBE-GGA level of DFT.

Cell and atoms, written as POSCAR:
```
ZrZnN3
1.0
4.233 0.000 0.000
0.000 4.233 0.000
0.000 0.000 4.233
Zn Zr N
1 1 3
Direct
0.500 0.500 0.500
0.000 0.000 0.000
0.000 0.500 0.000
0.000 0.000 0.500
0.500 0.000 0.000
```



Computed energy, in the same sequence as the records: -69.83 -20.30 -20.10 -30.22 eV for the cell shown.